1.
A plane-wave DFT calculation with GGA-PBE was carried out for Sr2InGeS5 after structural relaxation.

## Properties
Magnetization (μB per cell): 0.00
Total DFT energy (no corrections) (eV per cell): -83.96

Lattice parameters (Å, degrees): 4.152 9.061 11.920 90.00 90.00 103.24
Fractional coordinates of all 18 atoms:
Sr (0.877, 0.755, 0.816)
Sr (0.117, 0.235, 0.681)
Sr (0.123, 0.245, 0.316)
Sr (0.883, 0.765, 0.181)
In (0.786, 0.571, 0.529)
In (0.214, 0.429, 0.029)
Ge (0.561, 0.122, 0.944)
Ge (0.439, 0.878, 0.444)
S (0.356, 0.712, 0.002)
S (0.685, 0.369, 0.875)
S (0.502, 0.004, 0.775)
S (0.291, 0.582, 0.671)
S (0.954, 0.909, 0.531)
S (0.644, 0.288, 0.502)
S (0.315, 0.631, 0.375)
S (0.498, 0.996, 0.275)
S (0.709, 0.418, 0.171)
S (0.046, 0.091, 0.031)

***

2.
A plane-wave DFT calculation with GGA-PBE was carried out for SrIn2GeS6 after structural relaxation.

## Properties
Magnetization (μB per cell): 0.00
Total DFT energy (no corrections) (eV per cell): -43.12

Lattice parameters (Å, degrees): 6.707 6.707 7.192 62.20 62.18 59.98
Fractional coordinates of all 10 atoms:
Sr (0.803, 0.803, 0.591)
In (0.529, 0.529, 0.411)
In (0.008, 0.008, 0.977)
Ge (0.330, 0.330, 0.009)
S (0.579, 0.233, 0.242)
S (0.233, 0.945, 0.242)
S (0.945, 0.579, 0.242)
S (0.365, 0.709, 0.767)
S (0.710, 0.158, 0.767)
S (0.158, 0.365, 0.767)

***

3.
A plane-wave DFT calculation with GGA-PBE was carried out for InGe2TeS after structural relaxation.

## Properties
Magnetization (μB per cell): 0.76
Total DFT energy (no corrections) (eV per cell): -14.26

Lattice parameters (Å, degrees): 5.326 5.605 5.326 90.00 90.00 90.00
Fractional coordinates of all 5 atoms:
Ge (0.000, 0.000, 0.500)
Ge (0.500, 0.000, 0.000)
Te (0.000, 0.500, 0.000)
S (0.500, 0.500, 0.500)
In (0.000, 0.000, 0.000)